1.
A plane-wave DFT calculation with GGA-PBE was carried out for a geometry-optimized Ce2Ni4Sn structure.

```
data_Ce2Ni4Sn
_space_group_name_H-M_alt 'C m m m'
_space_group_IT_number 65
_space_group_name_Hall '-C 2 2'
_cell_length_a 4.9620
_cell_length_b 11.1882
_cell_length_c 4.9455
_cell_angle_alpha 90.00
_cell_angle_beta 90.00
_cell_angle_gamma 90.00
loop_
_atom_site_label
_atom_site_fract_x
_atom_site_fract_y
_atom_site_fract_z
Ce1 0.0000 0.1441 0.0000
Ni1 0.0000 0.1074 0.5000
Ni2 0.0000 0.3932 0.0000
Sn1 0.0000 0.5000 0.5000
```

Values from the calculation:
* density: 7666 kg/m³
* total energy: -75.53 eV/cell
* volume: 137.3 Å³/f.u.
* formation energy from the elements: 1.2 eV/f.u.
* size of the total moment: 0.000 μB/atom

***

2.
A plane-wave DFT calculation with GGA-PBE was carried out for a geometry-optimized CaCuSb structure.

```
data_CaCuSb
_space_group_name_H-M_alt 'P -6 m 2'
_space_group_IT_number 187
_space_group_name_Hall 'P -6 2'
_cell_length_a 4.4451
_cell_length_b 4.4451
_cell_length_c 12.5856
_cell_angle_alpha 90.00
_cell_angle_beta 90.00
_cell_angle_gamma 120.00
loop_
_atom_site_label
_atom_site_fract_x
_atom_site_fract_y
_atom_site_fract_z
Ca1 0.0000 0.0000 0.0000
Ca2 0.0000 0.0000 0.3350
Cu1 0.3333 0.6667 0.5000
Cu2 0.6667 0.3333 0.1634
Sb1 0.3333 0.6667 0.1718
Sb2 0.6667 0.3333 0.5000
```

Values from the calculation:
* density: 5214 kg/m³
* ΔE_f (raw): -1.98 eV per formula unit
* total energy: -36.60 eV/cell
* volume: 71.8 Å³/f.u.
* size of the total moment: 0.000 μB/atom

***

3.
A plane-wave DFT calculation with GGA-PBE was carried out for a geometry-optimized Ba2LaHg structure.

```
data_Ba2LaHg
_space_group_name_H-M_alt 'R -3 m'
_space_group_IT_number 166
_space_group_name_Hall '-R 3 2"'
_cell_length_a 4.1336
_cell_length_b 4.1336
_cell_length_c 35.8412
_cell_angle_alpha 90.00
_cell_angle_beta 90.00
_cell_angle_gamma 120.00
loop_
_atom_site_label
_atom_site_fract_x
_atom_site_fract_y
_atom_site_fract_z
Ba1 0.0000 0.0000 0.2392
La1 0.0000 0.0000 0.0000
Hg1 0.0000 0.0000 0.5000
```

Values from the calculation:
* density: 5769 kg/m³
* total energy: -27.75 eV/cell
* volume: 176.8 Å³/f.u.
* formation energy from the elements: -0.2 eV/f.u.
* size of the total moment: 0.006 μB/atom

***

4.
A plane-wave DFT calculation with GGA-PBE was carried out for a geometry-optimized InWC2Br structure.

```
data_InWC2Br
_space_group_name_H-M_alt 'P 4/m m m'
_space_group_IT_number 123
_space_group_name_Hall '-P 4 2'
_cell_length_a 4.1606
_cell_length_b 4.1606
_cell_length_c 5.4102
_cell_angle_alpha 90.00
_cell_angle_beta 90.00
_cell_angle_gamma 90.00
loop_
_atom_site_label
_atom_site_fract_x
_atom_site_fract_y
_atom_site_fract_z
In1 0.0000 0.0000 0.0000
W1 0.5000 0.5000 0.5000
C1 0.0000 0.5000 0.5000
Br1 0.5000 0.5000 0.0000
```

Values from the calculation:
* density: 7138 kg/m³
* ΔE_f (raw): 6.07 eV per formula unit
* total energy: -29.74 eV/cell
* volume: 93.7 Å³/f.u.
* size of the total moment: 0.008 μB/atom

***

5.
A plane-wave DFT calculation with GGA-PBE was carried out for a geometry-optimized Ho4GaAsSe2 structure.

```
data_Ho4GaAsSe2
_space_group_name_H-M_alt 'P 1 2/m 1'
_space_group_IT_number 10
_space_group_name_Hall '-P 2y'
_cell_length_a 7.1491
_cell_length_b 4.0276
_cell_length_c 7.1643
_cell_angle_alpha 90.00
_cell_angle_beta 108.77
_cell_angle_gamma 90.00
loop_
_atom_site_label
_atom_site_fract_x
_atom_site_fract_y
_atom_site_fract_z
Ho1 0.2483 0.0000 0.2373
Ho2 0.2517 0.5000 0.7565
Ga1 0.5000 0.0000 0.0000
As1 0.0000 0.5000 0.0000
Se1 0.0000 0.0000 0.5000
Se2 0.5000 0.5000 0.5000
```

Values from the calculation:
* density: 8181 kg/m³
* ΔE_f (raw): -11.36 eV per formula unit
* total energy: -44.31 eV/cell
* volume: 195.3 Å³/f.u.
* size of the total moment: 0.000 μB/atom

***

6.
A plane-wave DFT calculation with GGA-PBE was carried out for a geometry-optimized CsNaHg2 structure.

```
data_CsNaHg2
_space_group_name_H-M_alt 'R -3 m'
_space_group_IT_number 166
_space_group_name_Hall '-R 3 2"'
_cell_length_a 5.4125
_cell_length_b 5.4125
_cell_length_c 19.4231
_cell_angle_alpha 90.00
_cell_angle_beta 90.00
_cell_angle_gamma 120.00
loop_
_atom_site_label
_atom_site_fract_x
_atom_site_fract_y
_atom_site_fract_z
Cs1 0.0000 0.0000 0.0000
Na1 0.0000 0.0000 0.5000
Hg1 0.0000 0.0000 0.1965
```

Values from the calculation:
* density: 5632 kg/m³
* total energy: -11.15 eV/cell
* volume: 164.3 Å³/f.u.
* formation energy from the elements: -0.9 eV/f.u.
* distance to the lowest polymorph of the same formula: 0.000 eV per atom
* size of the total moment: 0.000 μB/atom

***

7.
A plane-wave DFT calculation with GGA-PBE was carried out for a geometry-optimized KIn2Se3 structure.

```
data_KIn2Se3
_space_group_name_H-M_alt 'C 1 2/m 1'
_space_group_IT_number 12
_space_group_name_Hall '-C 2y'
_cell_length_a 23.9347
_cell_length_b 4.8642
_cell_length_c 7.9165
_cell_angle_alpha 90.00
_cell_angle_beta 109.06
_cell_angle_gamma 90.00
loop_
_atom_site_label
_atom_site_fract_x
_atom_site_fract_y
_atom_site_fract_z
K1 0.1440 0.0000 0.4504
In1 0.0521 0.5000 0.8888
In2 0.1990 0.0000 0.0247
Se1 0.0643 0.5000 0.2317
Se2 0.0889 0.0000 0.7905
Se3 0.2276 0.5000 0.1879
```

Values from the calculation:
* density: 3855 kg/m³
* ΔE_f (raw): -4.00 eV per formula unit
* total energy: -84.10 eV/cell
* volume: 217.8 Å³/f.u.
* size of the total moment: 0.000 μB/atom

***

8.
A plane-wave DFT calculation with GGA-PBE was carried out for a geometry-optimized SrP2IO structure.

```
data_SrP2IO
_space_group_name_H-M_alt 'P 4/m m m'
_space_group_IT_number 123
_space_group_name_Hall '-P 4 2'
_cell_length_a 5.2478
_cell_length_b 5.2478
_cell_length_c 4.1564
_cell_angle_alpha 90.00
_cell_angle_beta 90.00
_cell_angle_gamma 90.00
loop_
_atom_site_label
_atom_site_fract_x
_atom_site_fract_y
_atom_site_fract_z
Sr1 0.0000 0.0000 0.0000
P1 0.0000 0.5000 0.5000
I1 0.5000 0.5000 0.5000
O1 0.5000 0.5000 0.0000
```

Values from the calculation:
* density: 4243 kg/m³
* ΔE_f (raw): 0.58 eV per formula unit
* total energy: -18.43 eV/cell
* volume: 114.5 Å³/f.u.
* distance to the lowest polymorph of the same formula: 0.000 eV per atom
* size of the total moment: 0.049 μB/atom